# 1
Compound: K3TlAg2F9
Source: Alexandria
Functional: PBE-GGA
Structure: relaxed

Output
D(E_F)	4.648	states/eV/cell
VASP energy	-0.14247	Ha/atom
ΔE_f (raw)	-1.9966	eV/atom

Geometry as CIF:
```
data_K3TlAg2F9
_chemical_formula_sum 'K3 Tl1 Ag2 F9'
_cell_length_a 6.334
_cell_length_b 6.334
_cell_length_c 7.932
_cell_angle_alpha 90.00
_cell_angle_beta 90.00
_cell_angle_gamma 120.00
_space_group_name_H-M_alt 'P 1'
_space_group_IT_number 1
loop_
_space_group_symop_operation_xyz
'x,y,z'
loop_
_atom_site_label
_atom_site_type_symbol
_atom_site_fract_x
_atom_site_fract_y
_atom_site_fract_z
_atom_site_occupancy
F1 F 0.159 0.841 0.330 1
F2 F 0.500 0.000 0.000 1
F3 F 0.159 0.318 0.330 1
F4 F 0.500 0.500 0.000 1
F5 F 0.000 0.500 0.000 1
F6 F 0.318 0.159 0.670 1
F7 F 0.682 0.841 0.330 1
F8 F 0.841 0.682 0.670 1
F9 F 0.841 0.159 0.670 1
K1 K 0.000 0.000 0.000 1
K2 K 0.667 0.333 0.274 1
K3 K 0.333 0.667 0.726 1
Tl1 Tl 0.000 0.000 0.500 1
Ag1 Ag 0.333 0.667 0.168 1
Ag2 Ag 0.667 0.333 0.832 1
```


# 2
Compound: KMg3Cu
Source: Alexandria
Functional: PBE-GGA
Structure: relaxed

Output
D(E_F)	2.313	states/eV/cell
ΔE to the lowest computed polymorph	0.000	eV per atom
VASP energy	-0.06952	Ha/atom
energy of formation from the pure elements	0.104	eV per atom

Geometry as CIF:
```
data_KMg3Cu
_chemical_formula_sum 'K1 Mg3 Cu1'
_cell_length_a 5.145
_cell_length_b 5.145
_cell_length_c 5.145
_cell_angle_alpha 90.00
_cell_angle_beta 90.00
_cell_angle_gamma 90.00
_space_group_name_H-M_alt 'P 1'
_space_group_IT_number 1
loop_
_space_group_symop_operation_xyz
'x,y,z'
loop_
_atom_site_label
_atom_site_type_symbol
_atom_site_fract_x
_atom_site_fract_y
_atom_site_fract_z
_atom_site_occupancy
Mg1 Mg 0.000 0.000 0.500 1
Mg2 Mg 0.000 0.500 0.000 1
Mg3 Mg 0.500 0.000 0.000 1
K1 K 0.500 0.500 0.500 1
Cu1 Cu 0.000 0.000 0.000 1
```


# 3
Compound: AgMo2I2
Source: Alexandria
Functional: PBE-GGA
Structure: relaxed

Output
D(E_F)	12.742	states/eV/cell
ΔE to the lowest computed polymorph	0.476	eV per atom
VASP energy	-0.15837	Ha/atom
ΔE_f (raw)	1.2133	eV/atom

Geometry as CIF:
```
data_AgMo2I2
_chemical_formula_sum 'Ag2 Mo4 I4'
_cell_length_a 8.093
_cell_length_b 8.093
_cell_length_c 3.169
_cell_angle_alpha 90.00
_cell_angle_beta 90.00
_cell_angle_gamma 90.00
_space_group_name_H-M_alt 'P 1'
_space_group_IT_number 1
loop_
_space_group_symop_operation_xyz
'x,y,z'
loop_
_atom_site_label
_atom_site_type_symbol
_atom_site_fract_x
_atom_site_fract_y
_atom_site_fract_z
_atom_site_occupancy
Ag1 Ag 0.000 0.000 0.000 1
Ag2 Ag 0.500 0.500 0.000 1
I1 I 0.356 0.856 0.000 1
I2 I 0.144 0.356 0.000 1
I3 I 0.856 0.644 0.000 1
I4 I 0.644 0.144 0.000 1
Mo1 Mo 0.844 0.344 0.500 1
Mo2 Mo 0.156 0.656 0.500 1
Mo3 Mo 0.344 0.156 0.500 1
Mo4 Mo 0.656 0.844 0.500 1
```


- Look up the D(E_F) of the third one.
  12.742 states/eV/cell


- D(E_F) of number 1 (K3TlAg2F9)?
  4.648 states/eV/cell